[1]
RbMoI2: relaxed, GGA-PBE.

a = 8.740 Å, b = 8.740 Å, c = 7.350 Å
α = 53.52°, β = 53.52°, γ = 90.00°
Positions (direct):
I1 0.740 0.125 0.250
I2 0.010 0.625 0.250
I3 0.375 0.260 0.750
I4 0.875 0.990 0.750
Mo1 0.000 0.000 0.000
Mo2 0.750 0.250 0.500
Rb1 0.500 0.500 0.000
Rb2 0.250 0.750 0.500

Formation energy (no corrections)   150 meV/atom
Crystal system   tetragonal
Offset from the most stable computed form   0 meV per atom
M_tot   0.09 Bohr magnetons per cell

[2]
Rb2ReMoI6: relaxed, GGA-PBE.

a = 8.153 Å, b = 8.153 Å, c = 8.152 Å
α = 60.00°, β = 60.00°, γ = 90.00°
Last column: magnetic moment on the atom in μB.
Positions (direct):
I1 0.245 0.245 0.510  0.04
I2 0.755 0.755 0.490  0.04
I3 0.245 0.245 0.000  0.04
I4 0.755 0.755 0.000  0.04
I5 0.755 0.245 0.000  0.04
I6 0.245 0.755 0.000  0.04
Re1 0.000 0.000 0.000  2.38
Mo1 0.500 0.500 0.000  3.22
Rb1 0.750 0.250 0.500  0.00
Rb2 0.250 0.750 0.500  0.00

Formation energy (no corrections)   -192 meV/atom
Crystal system   cubic
M_tot   7.09 Bohr magnetons per cell

[3]
Rb2MoRuI6: relaxed, GGA-PBE.

a = 8.063 Å, b = 8.063 Å, c = 8.064 Å
α = 60.00°, β = 60.00°, γ = 90.00°
Last column: magnetic moment on the atom in μB.
Positions (direct):
I1 0.248 0.248 0.504  0.03
I2 0.752 0.752 0.496  0.03
I3 0.248 0.248 0.000  0.03
I4 0.752 0.752 0.000  0.03
I5 0.752 0.248 0.000  0.03
I6 0.248 0.752 0.000  0.03
Ru1 0.000 0.000 0.000  1.59
Mo1 0.500 0.500 0.000  2.88
Rb1 0.750 0.250 0.500  0.00
Rb2 0.250 0.750 0.500  0.00

Formation energy (no corrections)   -373 meV/atom
Crystal system   cubic
M_tot   5.43 Bohr magnetons per cell

[4]
Rb2MoSI6: relaxed, GGA-PBE.

a = 8.993 Å, b = 8.993 Å, c = 8.340 Å
α = 57.38°, β = 57.38°, γ = 90.00°
Last column: magnetic moment on the atom in μB.
Positions (direct):
I1 0.260 0.260 0.480  -0.07
I2 0.740 0.740 0.520  -0.07
I3 0.221 0.221 0.000  -0.01
I4 0.779 0.779 0.000  -0.01
I5 0.779 0.221 0.000  -0.01
I6 0.221 0.779 0.000  -0.01
Mo1 0.000 0.000 0.000  2.25
S1 0.500 0.500 0.000  -0.28
Rb1 0.750 0.250 0.500  0.00
Rb2 0.250 0.750 0.500  0.00

Formation energy (no corrections)   -443 meV/atom
Crystal system   tetragonal
M_tot   2.00 Bohr magnetons per cell

The highest M_tot belongs to which entry? Rb2ReMoI6